No. 1
! CaPr4Zn4 | Alexandria | PBE | optimized geometry; values from VASP
! Calculated volume in Å³ per cell: 549
! VASP energy in eV per atom: -2.990
! ΔE_f in meV per atom: -78
! Fermi-level density of states in states/eV/f.u.: 10.0
! Space-group type: P4_2/n
&SYSTEM
  ibrav = 0, nat = 18, ntyp = 3
/
ATOMIC_SPECIES
Ca 40.08 Ca.upf
Pr 140.91 Pr.upf
Zn 65.41 Zn.upf
CELL_PARAMETERS angstrom
9.643 0.000 0.000
0.000 9.643 0.000
0.000 0.000 5.908
ATOMIC_POSITIONS crystal
Ca 0.250 0.250 0.250
Ca 0.750 0.750 0.750
Pr 0.086 0.662 0.128
Pr 0.162 0.914 0.628
Pr 0.338 0.586 0.628
Pr 0.414 0.838 0.128
Pr 0.586 0.162 0.872
Pr 0.662 0.414 0.372
Pr 0.838 0.086 0.372
Pr 0.914 0.338 0.872
Zn 0.015 0.606 0.625
Zn 0.106 0.985 0.125
Zn 0.394 0.515 0.125
Zn 0.485 0.894 0.625
Zn 0.515 0.106 0.375
Zn 0.606 0.485 0.875
Zn 0.894 0.015 0.875
Zn 0.985 0.394 0.375

---

No. 2
! CaPrZn | Alexandria | PBE | optimized geometry; values from VASP
! Calculated volume in Å³ per cell: 96
! VASP energy in eV per atom: -2.701
! ΔE_f in meV per atom: -16
! Fermi-level density of states in states/eV/f.u.: 3.3
! Space-group type: F-43m
&SYSTEM
  ibrav = 0, nat = 3, ntyp = 3
/
ATOMIC_SPECIES
Ca 40.08 Ca.upf
Pr 140.91 Pr.upf
Zn 65.41 Zn.upf
CELL_PARAMETERS angstrom
0.000 3.633 3.633
3.633 0.000 3.633
3.633 3.633 0.000
ATOMIC_POSITIONS crystal
Ca 0.000 0.000 0.000
Pr 0.500 0.500 0.500
Zn 0.750 0.750 0.750